Below is a relaxed structure of NbFeF2, with properties calculated at the GGA+U level.

The structure belongs to space group R-3m (No. 166, hexagonal axes); the cell edges are 2.8907, 2.8907 and 22.0411 Å and the angles 90.00°, 90.00° and 120.00°. The distinct sites, in fractional coordinates, are Nb at (0.0000, 0.0000, 0.0000), Fe at (0.0000, 0.0000, 0.5000) and F at (0.0000, 0.0000, 0.1009).

For the total energy, the calculation gives -0.436 Ry per atom. The density of states at the Fermi level comes out at 0.712 states/eV per atom. Its total moment is 0.82 μB per atom.